# 1
## AlCdTc2 (PBE)

Data for a relaxed AlCdTc2 crystal.

Geometry as CIF:
```
data_AlCdTc2
_chemical_formula_sum 'Al2 Cd2 Tc4'
_symmetry_space_group_name_H-M 'I m m 2'
_symmetry_Int_Tables_number 44
_symmetry_space_group_name_Hall 'I 2 -2'
_cell_length_a 3.1068
_cell_length_b 4.5569
_cell_length_c 8.9445
_cell_angle_alpha 90.00
_cell_angle_beta 90.00
_cell_angle_gamma 90.00
loop_
_atom_site_label
_atom_site_type_symbol
_atom_site_fract_x
_atom_site_fract_y
_atom_site_fract_z
_atom_site_occupancy
Al1 Al 0.0000 0.0000 0.0000 1
Cd1 Cd 0.0000 0.5000 0.2382 1
Tc1 Tc 0.0000 0.0000 0.4699 1
Tc2 Tc 0.0000 0.5000 0.7360 1
```

## Properties
As for the energy above the most stable polymorph in this dataset: 0.89 eV per formula unit. For the formation energy, the calculation gives 0.17 eV/atom. The electronic total energy comes out at -6.174 eV/atom.

---

# 2
## Al2CdTc (PBE)

Data for a relaxed Al2CdTc crystal.

Geometry as CIF:
```
data_Al2CdTc
_chemical_formula_sum 'Al2 Cd1 Tc1'
_symmetry_space_group_name_H-M 'P 4 m m'
_symmetry_Int_Tables_number 99
_symmetry_space_group_name_Hall 'P 4 -2'
_cell_length_a 2.8218
_cell_length_b 2.8218
_cell_length_c 8.4997
_cell_angle_alpha 90.00
_cell_angle_beta 90.00
_cell_angle_gamma 90.00
loop_
_atom_site_label
_atom_site_type_symbol
_atom_site_fract_x
_atom_site_fract_y
_atom_site_fract_z
_atom_site_occupancy
Al1 Al 0.0000 0.0000 0.0000 1
Al2 Al 0.5000 0.5000 0.2456 1
Cd1 Cd 0.0000 0.0000 0.5261 1
Tc1 Tc 0.5000 0.5000 0.7882 1
```

## Properties
For the formation energy, the calculation gives 0.15 eV/atom. The electronic total energy comes out at -4.542 eV/atom.

---

# 3
## AlCdTc2 (PBE)

Data for a relaxed AlCdTc2 crystal.

Geometry as CIF:
```
data_AlCdTc2
_chemical_formula_sum 'Al2 Cd2 Tc4'
_symmetry_space_group_name_H-M 'C 1 m 1'
_symmetry_Int_Tables_number 8
_symmetry_space_group_name_Hall 'C -2y'
_cell_length_a 9.0060
_cell_length_b 2.8895
_cell_length_c 4.9711
_cell_angle_alpha 90.00
_cell_angle_beta 98.79
_cell_angle_gamma 90.00
loop_
_atom_site_label
_atom_site_type_symbol
_atom_site_fract_x
_atom_site_fract_y
_atom_site_fract_z
_atom_site_occupancy
Al1 Al 0.0000 0.0000 0.0000 1
Cd1 Cd 0.2591 0.5000 0.2518 1
Tc1 Tc 0.0148 0.5000 0.5457 1
Tc2 Tc 0.2563 0.0000 0.7480 1
```

## Properties
As for the energy above the most stable polymorph in this dataset: 0.88 eV per formula unit. For the formation energy, the calculation gives 0.17 eV/atom. The electronic total energy comes out at -6.177 eV/atom.

---

# 4
## AlCdTc2 (PBE)

Data for a relaxed AlCdTc2 crystal.

Geometry as CIF:
```
data_AlCdTc2
_chemical_formula_sum 'Al1 Cd1 Tc2'
_symmetry_space_group_name_H-M 'P m m m'
_symmetry_Int_Tables_number 47
_symmetry_space_group_name_Hall '-P 2 2'
_cell_length_a 3.2107
_cell_length_b 4.4192
_cell_length_c 4.4652
_cell_angle_alpha 90.00
_cell_angle_beta 90.00
_cell_angle_gamma 90.00
loop_
_atom_site_label
_atom_site_type_symbol
_atom_site_fract_x
_atom_site_fract_y
_atom_site_fract_z
_atom_site_occupancy
Al1 Al 0.0000 0.0000 0.0000 1
Cd1 Cd 0.5000 0.5000 0.0000 1
Tc1 Tc 0.0000 0.5000 0.5000 1
Tc2 Tc 0.5000 0.0000 0.5000 1
```

## Properties
As for the energy above the most stable polymorph in this dataset: 1.22 eV per formula unit. For the formation energy, the calculation gives 0.26 eV/atom. The electronic total energy comes out at -6.092 eV/atom.

---

# 5
## Al2CdTc2 (PBE)

Data for a relaxed Al2CdTc2 crystal.

Geometry as CIF:
```
data_Al2CdTc2
_chemical_formula_sum 'Al4 Cd2 Tc4'
_symmetry_space_group_name_H-M 'P 4/m b m'
_symmetry_Int_Tables_number 127
_symmetry_space_group_name_Hall '-P 4 2ab'
_cell_length_a 6.8586
_cell_length_b 6.8586
_cell_length_c 3.3074
_cell_angle_alpha 90.00
_cell_angle_beta 90.00
_cell_angle_gamma 90.00
loop_
_atom_site_label
_atom_site_type_symbol
_atom_site_fract_x
_atom_site_fract_y
_atom_site_fract_z
_atom_site_occupancy
Al1 Al 0.1303 0.3697 0.0000 1
Cd1 Cd 0.0000 0.0000 0.0000 1
Tc1 Tc 0.1652 0.6652 0.5000 1
```

## Properties
As for the energy above the most stable polymorph in this dataset: 0.00 eV per formula unit. For the formation energy, the calculation gives -0.06 eV/atom. The electronic total energy comes out at -5.891 eV/atom.

---

# 6
## AlCdTc2 (PBE)

Data for a relaxed AlCdTc2 crystal.

Geometry as CIF:
```
data_AlCdTc2
_chemical_formula_sum 'Al2 Cd2 Tc4'
_symmetry_space_group_name_H-M 'C 1 2/m 1'
_symmetry_Int_Tables_number 12
_symmetry_space_group_name_Hall '-C 2y'
_cell_length_a 9.2420
_cell_length_b 2.8913
_cell_length_c 4.9162
_cell_angle_alpha 90.00
_cell_angle_beta 102.96
_cell_angle_gamma 90.00
loop_
_atom_site_label
_atom_site_type_symbol
_atom_site_fract_x
_atom_site_fract_y
_atom_site_fract_z
_atom_site_occupancy
Al1 Al 0.0000 0.0000 0.0000 1
Cd1 Cd 0.0000 0.5000 0.5000 1
Tc1 Tc 0.2408 0.5000 0.2243 1
```

## Properties
As for the energy above the most stable polymorph in this dataset: 1.06 eV per formula unit. For the formation energy, the calculation gives 0.22 eV/atom. The electronic total energy comes out at -6.131 eV/atom.